No. 1
SrMo2Pt | meta-GGA SCAN | single point on PBEsol structure

a = 2.7151 Å, b = 5.4087 Å, c = 5.5918 Å
α = 118.92°, β = 90.00°, γ = 90.00°
Atoms (fractional coordinates):
Mo1 0.0000 0.5000 0.5000
Mo2 0.0000 0.0000 0.5000
Sr1 0.5000 0.5000 0.0000
Pt1 0.5000 0.0000 0.0000

Results
DFT formation energy (eV per atom): 0.745
Energy (Ha/atom): -1.46315

=====

No. 2
AgAu3 | meta-GGA SCAN | single point on PBEsol structure

a = 4.7455 Å, b = 4.9752 Å, c = 5.6972 Å
α = 90.00°, β = 90.00°, γ = 90.00°
Atoms (fractional coordinates):
Ag1 0.5000 0.3359 0.5000
Ag2 0.0000 0.6641 0.0000
Au1 0.0000 0.1658 0.7498
Au2 0.0000 0.6663 0.5000
Au3 0.5000 0.8342 0.2498
Au4 0.5000 0.3337 0.0000
Au5 0.5000 0.8342 0.7502
Au6 0.0000 0.1658 0.2502

Results
DFT formation energy (eV per atom): -0.053
Energy (Ha/atom): -2.19624

=====

No. 3
Tl3Cd2 | meta-GGA SCAN | single point on PBEsol structure

a = 4.8275 Å, b = 4.8275 Å, c = 6.8801 Å
α = 90.00°, β = 90.00°, γ = 120.00°
Atoms (fractional coordinates):
Tl1 0.6667 0.3333 0.6390
Tl2 0.3333 0.6667 0.3610
Tl3 0.0000 0.0000 0.0000
Cd1 0.6667 0.3333 0.1688
Cd2 0.3333 0.6667 0.8312

Results
DFT formation energy (eV per atom): 0.085
Energy (Ha/atom): -2.03942

=====

No. 4
CaSbTe2N | meta-GGA SCAN | single point on PBEsol structure

a = 4.7513 Å, b = 4.7513 Å, c = 4.8814 Å
α = 90.00°, β = 90.00°, γ = 90.00°
Atoms (fractional coordinates):
Ca1 0.5000 0.5000 0.5000
Sb1 0.0000 0.0000 0.5000
N1 0.0000 0.0000 0.0000
Te1 0.5000 0.0000 0.0000
Te2 0.0000 0.5000 0.0000

Results
Raw formation energy (eV/atom): 0.071
Energy (Ha/atom): -0.95814

=====

No. 5
NbP6W3O24 | meta-GGA SCAN | single point on PBEsol structure

a = 8.7069 Å, b = 8.7069 Å, c = 8.9499 Å
α = 60.89°, β = 60.89°, γ = 60.00°
Site moments in Bohr magnetons follow the coordinates.
Atoms (fractional coordinates):
O1 0.7107 0.0751 0.2745  0.01
O2 0.5660 0.4208 0.2229  0.01
O3 0.5738 0.2088 0.7763  0.01
O4 0.4412 0.5738 0.7763  0.01
O5 0.0054 0.6405 0.5830  0.01
O6 0.0614 0.2944 0.7254  0.00
O7 0.0751 0.9397 0.2745  0.01
O8 0.2944 0.9187 0.7254  0.00
O9 0.6405 0.7711 0.5830  0.01
O10 0.8619 0.4972 0.9190  0.01
O11 0.9947 0.3644 0.4159  -0.01
O12 0.2736 0.1380 0.0811  0.01
O13 0.4972 0.7219 0.9190  0.01
O14 0.2251 0.9947 0.4159  -0.01
O15 0.7902 0.5660 0.2229  0.01
O16 0.9397 0.7107 0.2745  0.01
O17 0.2088 0.4412 0.7763  0.01
O18 0.9187 0.0614 0.7254  0.00
O19 0.1380 0.5074 0.0811  0.01
O20 0.7219 0.8619 0.9190  0.01
O21 0.4208 0.7902 0.2229  0.01
O22 0.7711 0.0054 0.5830  0.01
O23 0.3644 0.2251 0.4159  -0.01
O24 0.5074 0.2736 0.0811  0.01
P1 0.5363 0.2488 0.2487  0.02
P2 0.4694 0.7458 0.7512  0.02
P3 0.9662 0.5363 0.2487  0.02
P4 0.7458 0.0337 0.7512  0.02
P5 0.0337 0.4694 0.7512  0.02
P6 0.2488 0.9662 0.2487  0.02
W1 0.3567 0.3567 0.9298  1.22
W2 0.8570 0.8570 0.4290  1.21
W3 0.6424 0.6424 0.0727  1.17
Nb1 0.1417 0.1417 0.5748  0.41

Results
Raw formation energy (eV/atom): -2.324
Energy (Ha/atom): -0.57627

=====

No. 6
K2ZrMn | meta-GGA SCAN | single point on PBEsol structure

a = 3.1631 Å, b = 5.2967 Å, c = 6.4397 Å
α = 90.00°, β = 90.00°, γ = 91.64°
Site moments in Bohr magnetons follow the coordinates.
Atoms (fractional coordinates):
K1 0.2470 0.2581 0.0000  -0.04
K2 0.7530 0.7419 0.0000  -0.04
Zr1 0.5000 0.0000 0.5000  -0.81
Mn1 0.0000 0.5000 0.5000  4.17

Results
DFT formation energy (eV per atom): 0.840
Energy (Ha/atom): -0.57192

=====

No. 7
CaLa3Ge | meta-GGA SCAN | single point on PBEsol structure

a = 5.4843 Å, b = 5.4843 Å, c = 5.4843 Å
α = 90.00°, β = 90.00°, γ = 90.00°
Atoms (fractional coordinates):
La1 0.5000 0.0000 0.0000
La2 0.0000 0.5000 0.0000
La3 0.0000 0.0000 0.5000
Ge1 0.5000 0.5000 0.5000
Ca1 0.0000 0.0000 0.0000

Results
DFT formation energy (eV per atom): 0.818
Energy (Ha/atom): -1.13171

=====

No. 8
Nd3Y | meta-GGA SCAN | single point on PBEsol structure

a = 3.5858 Å, b = 3.5858 Å, c = 11.5787 Å
α = 90.00°, β = 90.00°, γ = 120.00°
Atoms (fractional coordinates):
Nd1 0.6667 0.3333 0.0000
Nd2 0.0000 0.0000 0.7464
Nd3 0.0000 0.0000 0.2536
Y1 0.3333 0.6667 0.5000

Results
DFT formation energy (eV per atom): 0.002
Energy (Ha/atom): -1.45694

=====

No. 9
Ti2NbAl | meta-GGA SCAN | single point on PBEsol structure

a = 4.6261 Å, b = 5.5795 Å, c = 5.5795 Å
α = 115.07°, β = 90.00°, γ = 90.00°
Atoms (fractional coordinates):
Ti1 0.2500 0.6654 0.8613
Ti2 0.2500 0.1387 0.3346
Ti3 0.7500 0.8613 0.6654
Ti4 0.7500 0.3346 0.1387
Nb1 0.7500 0.3619 0.6381
Nb2 0.2500 0.6381 0.3619
Al1 0.7500 0.8372 0.1628
Al2 0.2500 0.1628 0.8372

Results
DFT formation energy (eV per atom): -0.300
Energy (Ha/atom): -0.68116

=====

No. 10
Al2ReWC | meta-GGA SCAN | single point on PBEsol structure

a = 3.7970 Å, b = 4.7423 Å, c = 4.7423 Å
α = 90.00°, β = 90.00°, γ = 90.00°
Site moments in Bohr magnetons follow the coordinates.
Atoms (fractional coordinates):
Al1 0.0000 0.0000 0.5000  -0.01
Al2 0.0000 0.5000 0.0000  -0.01
C1 0.5000 0.0000 0.0000  0.02
Re1 0.0000 0.0000 0.0000  0.11
W1 0.5000 0.5000 0.5000  0.66

Results
DFT formation energy (eV per atom): 1.605
Energy (Ha/atom): -1.16396

=====

No. 11
CaTiBi3 | meta-GGA SCAN | single point on PBEsol structure

a = 5.3871 Å, b = 5.3871 Å, c = 5.3871 Å
α = 90.00°, β = 90.00°, γ = 90.00°
Atoms (fractional coordinates):
Ca1 0.5000 0.5000 0.5000
Bi1 0.5000 0.0000 0.0000
Bi2 0.0000 0.0000 0.5000
Bi3 0.0000 0.5000 0.0000
Ti1 0.0000 0.0000 0.0000

Results
DFT formation energy (eV per atom): -0.175
Energy (Ha/atom): -1.92791

=====

No. 12
ReTc2Hg | meta-GGA SCAN | single point on PBEsol structure

a = 2.9532 Å, b = 4.6497 Å, c = 5.3645 Å
α = 115.68°, β = 105.98°, γ = 90.00°
Atoms (fractional coordinates):
Tc1 0.2236 0.2236 0.4472
Tc2 0.7764 0.7764 0.5528
Re1 0.5000 0.0000 0.0000
Hg1 0.0000 0.5000 0.0000

Results
DFT formation energy (eV per atom): 0.604
Energy (Ha/atom): -1.90150

=====

No. 13
RbGaP2 | meta-GGA SCAN | single point on PBEsol structure

a = 5.0822 Å, b = 5.0822 Å, c = 8.8913 Å
α = 106.61°, β = 106.61°, γ = 90.00°
Atoms (fractional coordinates):
P1 0.6250 0.3750 0.2500
P2 0.6250 0.8750 0.2500
P3 0.6250 0.3750 0.7500
P4 0.1250 0.3750 0.7500
Rb1 0.2500 0.7500 0.5000
Rb2 0.0000 0.0000 0.0000
Ga1 0.5000 0.5000 0.0000
Ga2 0.7500 0.2500 0.5000

Results
DFT formation energy (eV per atom): -0.063
Energy (Ha/atom): -0.53411

=====

No. 14
PdS3N | meta-GGA SCAN | single point on PBEsol structure

a = 4.6431 Å, b = 4.6431 Å, c = 4.6431 Å
α = 90.00°, β = 90.00°, γ = 90.00°
Site moments in Bohr magnetons follow the coordinates.
Atoms (fractional coordinates):
S1 0.5000 0.0000 0.0000  -0.60
S2 0.0000 0.5000 0.0000  -0.60
S3 0.0000 0.0000 0.5000  -0.60
N1 0.5000 0.5000 0.5000  1.84
Pd1 0.0000 0.0000 0.0000  -0.21

Results
Raw formation energy (eV/atom): 1.581
Energy (Ha/atom): -0.46337

=====

No. 15
AgIrW2 | meta-GGA SCAN | single point on PBEsol structure

a = 2.7340 Å, b = 2.7340 Å, c = 8.1941 Å
α = 90.00°, β = 90.00°, γ = 90.00°
Atoms (fractional coordinates):
Ir1 0.5000 0.5000 0.5000
W1 0.0000 0.0000 0.7373
W2 0.0000 0.0000 0.2627
Ag1 0.5000 0.5000 0.0000

Results
DFT formation energy (eV per atom): 0.247
Energy (Ha/atom): -2.21280

=====

No. 16
CuBi2N | meta-GGA SCAN | single point on PBEsol structure

a = 5.7307 Å, b = 5.7307 Å, c = 6.8065 Å
α = 114.90°, β = 114.90°, γ = 90.00°
Atoms (fractional coordinates):
Bi1 0.4100 0.8750 0.2500
Bi2 0.1250 0.1600 0.7500
Bi3 0.6250 0.5900 0.7500
Bi4 0.8400 0.3750 0.2500
Cu1 0.2500 0.7500 0.5000
Cu2 0.0000 0.0000 0.0000
N1 0.5000 0.5000 0.0000
N2 0.7500 0.2500 0.5000

Results
Raw formation energy (eV/atom): 0.676
Energy (Ha/atom): -1.64404

=====

No. 17
AsPb2Se | meta-GGA SCAN | single point on PBEsol structure

a = 4.2136 Å, b = 4.2129 Å, c = 6.0478 Å
α = 90.00°, β = 90.00°, γ = 90.00°
Atoms (fractional coordinates):
Pb1 0.3741 0.0000 0.5000
Pb2 0.8760 0.5000 0.0000
As1 0.8740 0.5000 0.5000
Se1 0.3758 0.0000 0.0000

Results
Raw formation energy (eV/atom): -0.210
Energy (Ha/atom): -1.77015

=====

No. 18
MnMoN2 | meta-GGA SCAN | single point on PBEsol structure

a = 2.8678 Å, b = 2.8678 Å, c = 6.2233 Å
α = 76.68°, β = 76.68°, γ = 60.00°
Site moments in Bohr magnetons follow the coordinates.
Atoms (fractional coordinates):
Mn1 0.5000 0.5000 0.5000  2.82
N1 0.8923 0.8923 0.3232  -0.01
N2 0.1077 0.1077 0.6768  -0.01
Mo1 0.0000 0.0000 0.0000  0.26

Results
Raw formation energy (eV/atom): -0.097
Energy (Ha/atom): -0.66251

=====

No. 19
MnZn2Hg | meta-GGA SCAN | single point on PBEsol structure

a = 2.9300 Å, b = 2.9300 Å, c = 7.1415 Å
α = 90.00°, β = 90.00°, γ = 90.00°
Site moments in Bohr magnetons follow the coordinates.
Atoms (fractional coordinates):
Hg1 0.0000 0.0000 0.5062  -0.04
Zn1 0.5000 0.5000 0.2217  -0.01
Zn2 0.0000 0.0000 0.9947  -0.07
Mn1 0.5000 0.5000 0.7774  3.78

Results
DFT formation energy (eV per atom): 0.016
Energy (Ha/atom): -1.04175

=====

No. 20
Re3PN | meta-GGA SCAN | single point on PBEsol structure

a = 4.3088 Å, b = 4.3088 Å, c = 4.3088 Å
α = 90.00°, β = 90.00°, γ = 90.00°
Atoms (fractional coordinates):
Re1 0.0000 0.0000 0.5000
Re2 0.5000 0.0000 0.0000
Re3 0.0000 0.5000 0.0000
N1 0.5000 0.5000 0.5000
P1 0.0000 0.0000 0.0000

Results
Raw formation energy (eV/atom): 2.372
Energy (Ha/atom): -1.62524

=====

No. 21
LiAs2Ru | meta-GGA SCAN | single point on PBEsol structure

a = 3.0103 Å, b = 4.4147 Å, c = 4.4147 Å
α = 102.67°, β = 90.00°, γ = 90.00°
Atoms (fractional coordinates):
Ru1 0.5000 0.0000 0.0000
As1 0.0000 0.0000 0.5000
As2 0.0000 0.5000 0.0000
Li1 0.5000 0.5000 0.5000

Results
DFT formation energy (eV per atom): -0.126
Energy (Ha/atom): -0.71752

=====

No. 22
CoIr2Rh | meta-GGA SCAN | single point on PBEsol structure

a = 2.6743 Å, b = 2.6743 Å, c = 7.2959 Å
α = 90.00°, β = 90.00°, γ = 90.00°
Site moments in Bohr magnetons follow the coordinates.
Atoms (fractional coordinates):
Ir1 0.5000 0.5000 0.2500  -0.17
Ir2 0.0000 0.0000 0.9885  0.18
Co1 0.5000 0.5000 0.7501  1.96
Rh1 0.0000 0.0000 0.5113  0.32

Results
DFT formation energy (eV per atom): 0.020
Energy (Ha/atom): -1.77493

=====

No. 23
NaLi2Y | meta-GGA SCAN | single point on PBEsol structure

a = 6.4774 Å, b = 6.5379 Å, c = 6.5379 Å
α = 75.80°, β = 60.31°, γ = 60.31°
Site moments in Bohr magnetons follow the coordinates.
Atoms (fractional coordinates):
Na1 0.5000 0.0000 0.0000  0.01
Na2 0.2500 0.5000 0.5000  0.01
Y1 0.7500 0.5000 0.5000  0.34
Y2 0.0000 0.0000 0.0000  0.34
Li1 0.3750 0.4719 0.0281  0.00
Li2 0.8750 0.5281 0.9719  0.00
Li3 0.1531 0.9719 0.4719  0.00
Li4 0.5969 0.0281 0.5281  0.00

Results
DFT formation energy (eV per atom): 0.336
Energy (Ha/atom): -0.32610

=====

No. 24
RbZn2BiMo | meta-GGA SCAN | single point on PBEsol structure

a = 5.4641 Å, b = 5.4641 Å, c = 6.4369 Å
α = 90.00°, β = 90.00°, γ = 90.00°
Site moments in Bohr magnetons follow the coordinates.
Atoms (fractional coordinates):
Rb1 0.0000 0.0000 0.0000  -0.04
Bi1 0.0000 0.0000 0.5000  -0.59
Zn1 0.0000 0.5000 0.0000  0.00
Zn2 0.5000 0.0000 0.0000  0.00
Mo1 0.5000 0.5000 0.5000  4.14

Results
DFT formation energy (eV per atom): 1.846
Energy (Ha/atom): -1.11721

=====

No. 25
TaTiNb2 | meta-GGA SCAN | single point on PBEsol structure

a = 4.6061 Å, b = 4.6061 Å, c = 4.6061 Å
α = 60.00°, β = 60.00°, γ = 60.00°
Atoms (fractional coordinates):
Nb1 0.2500 0.2500 0.2500
Nb2 0.7500 0.7500 0.7500
Ta1 0.5000 0.5000 0.5000
Ti1 0.0000 0.0000 0.0000

Results
DFT formation energy (eV per atom): 0.031
Energy (Ha/atom): -1.36661

=====

No. 26
K2PW | meta-GGA SCAN | single point on PBEsol structure

a = 2.8999 Å, b = 5.1570 Å, c = 5.5894 Å
α = 90.00°, β = 90.00°, γ = 90.00°
Atoms (fractional coordinates):
K1 0.0000 0.2517 0.0000
K2 0.0000 0.7483 0.0000
W1 0.5000 0.0000 0.5000
P1 0.5000 0.5000 0.5000

Results
DFT formation energy (eV per atom): 1.068
Energy (Ha/atom): -0.84958

=====

No. 27
Fe2ReSe | meta-GGA SCAN | single point on PBEsol structure

a = 2.8894 Å, b = 4.0949 Å, c = 4.9211 Å
α = 114.59°, β = 107.07°, γ = 90.00°
Site moments in Bohr magnetons follow the coordinates.
Atoms (fractional coordinates):
Fe1 0.9682 0.9682 0.9364  -2.08
Fe2 0.7516 0.2516 0.5032  2.49
Se1 0.2594 0.7594 0.5188  -0.01
Re1 0.5208 0.5208 0.0416  -0.15

Results
Raw formation energy (eV/atom): 0.541
Energy (Ha/atom): -1.15090